A plane-wave DFT calculation with PBE was carried out for a relaxed structure of LaCeZnIn.

Calculated values
Magnetic moment in μB per formula unit: 1.122
Formation energy from the elements in meV/atom: -296
Total energy in eV/atom: -4.01

a b c (Å): 7.647 7.647 7.647
angles (deg): 90.00 90.00 90.00
Space group F-43m (No. 216)
Unique sites:
La1 0.000 0.000 0.000 (multiplicity 4)
Ce1 0.000 0.000 0.500 (multiplicity 4)
Zn1 0.250 0.250 0.750 (multiplicity 4)
In1 0.250 0.250 0.250 (multiplicity 4)